No. 1
A crystal of AgMoRu2 relaxed with PBEsol, computed with SCAN.

abc: 4.366 4.366 4.366
angles: 60.00 60.00 60.00
Fractional positions:
Ag 0.500 0.500 0.500
Mo 0.750 0.750 0.750
Ru 0.000 0.000 0.000
Ru 0.250 0.250 0.250

* formation energy: 0.693 eV per atom
* SG: F-43m (216)

No. 2
A crystal of Sr2Hg relaxed with PBEsol, computed with SCAN.

abc: 3.996 5.839 9.672
angles: 90.00 101.92 90.00
Fractional positions:
Sr 0.429 0.250 0.858
Sr 0.571 0.750 0.142
Sr 0.708 0.250 0.415
Sr 0.292 0.750 0.585
Hg 0.072 0.250 0.143
Hg 0.928 0.750 0.857

* formation energy: -0.439 eV per atom
* SG: Cmcm (63)

No. 3
A crystal of TlRe2Os relaxed with PBEsol, computed with SCAN.

abc: 3.076 4.390 4.731
angles: 90.00 90.00 90.00
Fractional positions:
Os 0.000 0.500 0.500
Re 0.000 0.000 0.000
Re 0.500 0.500 0.000
Tl 0.500 0.000 0.500

* formation energy: 1.101 eV per atom
* SG: Pmmm (47)

No. 4
A crystal of LiInHg2 relaxed with PBEsol, computed with SCAN.

abc: 4.324 4.325 5.412
angles: 113.61 113.55 90.00
Fractional positions:
In 0.500 0.500 0.000
Hg 0.000 0.000 0.000
Hg 0.750 0.250 0.500
Li 0.250 0.750 0.500

* formation energy: -0.199 eV per atom
* SG: I-4m2 (119)

No. 5
A crystal of TaZnPb relaxed with PBEsol, computed with SCAN.

abc: 4.581 4.581 4.581
angles: 60.00 60.00 60.00
Fractional positions:
Pb 0.250 0.250 0.250
Ta 0.000 0.000 0.000
Zn 0.500 0.500 0.500

* formation energy: 1.129 eV per atom
* SG: F-43m (216)

No. 6
A crystal of BeCu3 relaxed with PBEsol, computed with SCAN.

abc: 3.476 3.476 7.392
angles: 103.60 103.60 90.00
Fractional positions:
Be 0.628 0.628 0.256
Be 0.372 0.372 0.744
Cu 0.000 0.500 0.000
Cu 0.500 0.000 0.000
Cu 0.750 0.250 0.500
Cu 0.250 0.750 0.500
Cu 0.876 0.876 0.752
Cu 0.124 0.124 0.248

* formation energy: -0.069 eV per atom
* SG: I4/mmm (139)